DFT (PBE-GGA) results for Ce6PuBi3 after structural relaxation.

a b c (Å): 6.7196 8.3682 12.6424
angles (deg): 90.00 120.64 90.00
Space group P2_1/c (No. 14)
Inequivalent atoms, fractional coordinates:
Ce 0.1157 0.0346 0.2172 [4 per cell]
Ce 0.1858 0.7345 0.0528 [4 per cell]
Ce 0.3593 0.1421 0.0441 [4 per cell]
Pu 0.0000 0.0000 0.0000 [2 per cell]
Bi 0.2983 0.0983 0.7365 [4 per cell]
Bi 0.5000 0.0000 0.5000 [2 per cell]

Results
The calculation puts the total magnetization at 2.67 μB per cell. As for the total DFT energy (no corrections): -6.68 eV/atom. The formation energy comes out at -520 meV/atom.